## PuCuH2O6 (PBE)

Data for a geometry-optimized PuCuH2O6 structure.

The space group is C2/c (No. 15) and the conventional cell measures 10.300, 9.065 and 5.236 Å, with angles of 90.00, 100.19 and 90.00 degrees. The distinct sites, in fractional coordinates, are Pu at (0.000, 0.241, 0.250), Cu at (0.000, 0.419, 0.750), H at (0.156, 0.011, 0.291), O at (0.094, 0.248, 0.590), O at (0.103, 0.419, 0.112) and O at (0.128, 0.081, 0.146).

The raw total energy comes out at -269.261 eV per cell. The value obtained for the total magnetization is 4.2 μB per cell.